No. 1
Entry from Alexandria via LeMat-Bulk: a relaxed CaBe2Mo crystal (GGA-PBE).

Summary:
- final energy (eV per atom) = -4.529
- excess energy over the best structure of this formula in the dataset (eV per formula unit) = 1.13
- DFT formation energy (eV/atom) = 0.542

Unit cell a=5.3545 b=5.3545 c=5.3545 alpha=150.25 beta=128.60 gamma=60.52
Sites, in units of the cell vectors:
Ca  0.0000  0.0000  0.0000
Be  0.5433  0.5433  0.0000
Be  0.7315  0.2315  0.5000
Mo  0.2933  0.7933  0.5000

=====

No. 2
Entry from Alexandria via LeMat-Bulk: a relaxed ReWAu2 crystal (GGA-PBE).

Summary:
- final energy (eV per atom) = -7.539
- excess energy over the best structure of this formula in the dataset (eV per formula unit) = 0.61
- DFT formation energy (eV/atom) = 0.450

Unit cell a=4.8930 b=4.8930 c=4.8930 alpha=130.95 beta=130.95 gamma=71.89
Sites, in units of the cell vectors:
Re  0.0000  0.0000  0.0000
W  0.2500  0.7500  0.5000
Au  0.5000  0.5000  0.0000
Au  0.7500  0.2500  0.5000

=====

No. 3
Entry from Alexandria via LeMat-Bulk: a relaxed BaSmPb2 crystal (GGA-PBE).

Summary:
- final energy (eV per atom) = -3.901
- DFT formation energy (eV/atom) = -0.386

Unit cell a=6.1403 b=6.1403 c=3.6171 alpha=90.00 beta=90.00 gamma=90.00
Sites, in units of the cell vectors:
Ba  0.0000  0.0000  0.0000
Sm  0.5000  0.5000  0.0000
Pb  0.0000  0.5000  0.5000
Pb  0.5000  0.0000  0.5000

=====

No. 4
Entry from Alexandria via LeMat-Bulk: a relaxed KRbBa2S crystal (GGA-PBE).

Summary:
- final energy (eV per atom) = -2.650
- excess energy over the best structure of this formula in the dataset (eV per formula unit) = 0.10

Unit cell a=6.2967 b=6.2967 c=7.0891 alpha=90.00 beta=90.00 gamma=90.00
Sites, in units of the cell vectors:
K  0.0000  0.0000  0.0000
Rb  0.5000  0.5000  0.0000
Ba  0.0000  0.5000  0.5000
Ba  0.5000  0.0000  0.5000
S  0.0000  0.0000  0.5000